The following is a PBE calculation of a relaxed HoMnAgCl6 crystal, from Alexandria.

Cell: 6.613 6.613 12.255 Å, 90.00 90.00 120.00°
Fractional positions:
Ho1 0.333 0.667 0.250
Ho2 0.667 0.333 0.750
Mn1 0.333 0.667 0.750
Mn2 0.667 0.333 0.250
Ag1 0.000 0.000 0.000
Ag2 0.000 0.000 0.500
Cl1 0.011 0.357 0.631
Cl2 0.011 0.654 0.869
Cl3 0.346 0.357 0.869
Cl4 0.346 0.989 0.631
Cl5 0.357 0.011 0.131
Cl6 0.357 0.346 0.369
Cl7 0.643 0.654 0.631
Cl8 0.643 0.989 0.869
Cl9 0.654 0.011 0.369
Cl10 0.654 0.643 0.131
Cl11 0.989 0.346 0.131
Cl12 0.989 0.643 0.369

Results
For the density of states at the Fermi level, the calculation gives 0.0 states/eV/f.u. The raw formation energy comes out at -1.46 eV per atom. For the calculated density, the calculation gives 3.87 g cm⁻³. The space group is P-31c.